# 1
Ho2GePIr6 after structural relaxation. Source: Alexandria, functional GGA-PBE.

Calculated values
The formation enthalpy at 0 K comes out at -0.481 eV per atom. The crystal system is orthorhombic.

a b c (Å): 5.4488 8.6246 7.9084
angles (deg): 90.00 90.00 90.00
Positions (direct):
Ho: 0.2500 0.0183 0.2171
Ho: 0.2500 0.4817 0.2171
Ho: 0.7500 0.5183 0.7829
Ho: 0.7500 0.9817 0.7829
Ge: 0.2500 0.7500 0.7612
Ge: 0.7500 0.2500 0.2388
P: 0.2500 0.2500 0.7518
P: 0.7500 0.7500 0.2482
Ir: 0.0104 0.7500 0.0247
Ir: 0.0114 0.7500 0.4759
Ir: 0.2500 0.5016 0.5954
Ir: 0.2500 0.9984 0.5954
Ir: 0.4886 0.7500 0.4759
Ir: 0.4896 0.7500 0.0247
Ir: 0.5104 0.2500 0.9753
Ir: 0.5114 0.2500 0.5241
Ir: 0.7500 0.0016 0.4046
Ir: 0.7500 0.4984 0.4046
Ir: 0.9886 0.2500 0.5241
Ir: 0.9896 0.2500 0.9753

# 2
Ho3GeP2Ir9 after structural relaxation. Source: Alexandria, functional GGA-PBE.

Calculated values
The formation enthalpy at 0 K comes out at -0.410 eV per atom. The crystal system is trigonal.

a b c (Å): 5.6273 5.6273 10.2262
angles (deg): 90.00 90.00 120.00
Positions (direct):
Ho: 0.0000 0.0000 0.0000
Ho: 0.3333 0.6667 0.5802
Ho: 0.6667 0.3333 0.4198
Ge: 0.0000 0.0000 0.5000
P: 0.3333 0.6667 0.1607
P: 0.6667 0.3333 0.8393
Ir: 0.0000 0.5000 0.0000
Ir: 0.1602 0.3205 0.3089
Ir: 0.1602 0.8398 0.3089
Ir: 0.3205 0.1602 0.6911
Ir: 0.5000 0.0000 0.0000
Ir: 0.5000 0.5000 0.0000
Ir: 0.6795 0.8398 0.3089
Ir: 0.8398 0.1602 0.6911
Ir: 0.8398 0.6795 0.6911

# 3
Pm2HoGe3Ir4 after structural relaxation. Source: Alexandria, functional GGA-PBE.

Calculated values
The formation enthalpy at 0 K comes out at -0.796 eV per atom. The crystal system is tetragonal.

a b c (Å): 4.1876 4.1876 11.2378
angles (deg): 90.00 90.00 90.00
Positions (direct):
Pm: 0.0000 0.5000 0.2298
Pm: 0.5000 0.0000 0.7702
Ho: 0.0000 0.0000 0.5000
Ge: 0.0000 0.5000 0.8778
Ge: 0.5000 0.0000 0.1222
Ge: 0.5000 0.5000 0.5000
Ir: 0.0000 0.0000 0.0000
Ir: 0.0000 0.5000 0.6589
Ir: 0.5000 0.0000 0.3411
Ir: 0.5000 0.5000 0.0000

# 4
Pm2HoGe4Ir3 after structural relaxation. Source: Alexandria, functional GGA-PBE.

Calculated values
The formation enthalpy at 0 K comes out at -0.741 eV per atom. The crystal system is tetragonal.

a b c (Å): 4.2710 4.2710 11.0780
angles (deg): 90.00 90.00 90.00
Positions (direct):
Pm: 0.0000 0.5000 0.2298
Pm: 0.5000 0.0000 0.7702
Ho: 0.0000 0.0000 0.5000
Ge: 0.0000 0.0000 0.0000
Ge: 0.0000 0.5000 0.6642
Ge: 0.5000 0.0000 0.3358
Ge: 0.5000 0.5000 0.0000
Ir: 0.0000 0.5000 0.8839
Ir: 0.5000 0.0000 0.1161
Ir: 0.5000 0.5000 0.5000

# 5
Pr2HoGe3Ir4 after structural relaxation. Source: Alexandria, functional GGA-PBE.

Calculated values
The formation enthalpy at 0 K comes out at -0.786 eV per atom. The crystal system is tetragonal.

a b c (Å): 4.2158 4.2158 11.2438
angles (deg): 90.00 90.00 90.00
Positions (direct):
Pr: 0.0000 0.5000 0.2314
Pr: 0.5000 0.0000 0.7686
Ho: 0.0000 0.0000 0.5000
Ge: 0.0000 0.5000 0.8785
Ge: 0.5000 0.0000 0.1215
Ge: 0.5000 0.5000 0.5000
Ir: 0.0000 0.0000 0.0000
Ir: 0.0000 0.5000 0.6578
Ir: 0.5000 0.0000 0.3422
Ir: 0.5000 0.5000 0.0000

# 6
Ho2Ge4IrPt3 after structural relaxation. Source: Alexandria, functional GGA-PBE.

Calculated values
The formation enthalpy at 0 K comes out at -0.850 eV per atom. The crystal system is tetragonal.

a b c (Å): 4.1101 4.1101 10.8956
angles (deg): 90.00 90.00 90.00
Positions (direct):
Ho: 0.0000 0.5000 0.2398
Ho: 0.5000 0.0000 0.7602
Ge: 0.0000 0.0000 0.5000
Ge: 0.0000 0.5000 0.8649
Ge: 0.5000 0.0000 0.1351
Ge: 0.5000 0.5000 0.5000
Ir: 0.5000 0.5000 0.0000
Pt: 0.0000 0.0000 0.0000
Pt: 0.0000 0.5000 0.6427
Pt: 0.5000 0.0000 0.3573

# 7
Ho2Ge4Ir3Pt after structural relaxation. Source: Alexandria, functional GGA-PBE.

Calculated values
The formation enthalpy at 0 K comes out at -0.763 eV per atom. The crystal system is tetragonal.

a b c (Å): 4.1833 4.1833 10.3707
angles (deg): 90.00 90.00 90.00
Positions (direct):
Ho: 0.0000 0.5000 0.2424
Ho: 0.5000 0.0000 0.7576
Ge: 0.0000 0.0000 0.0000
Ge: 0.0000 0.5000 0.6381
Ge: 0.5000 0.0000 0.3619
Ge: 0.5000 0.5000 0.0000
Ir: 0.0000 0.5000 0.8699
Ir: 0.5000 0.0000 0.1301
Ir: 0.5000 0.5000 0.5000
Pt: 0.0000 0.0000 0.5000

# 8
Ho2Ge4Ir3Rh after structural relaxation. Source: Alexandria, functional GGA-PBE.

Calculated values
The formation enthalpy at 0 K comes out at -0.782 eV per atom. The crystal system is tetragonal.

a b c (Å): 4.2118 4.2118 10.1496
angles (deg): 90.00 90.00 90.00
Positions (direct):
Ho: 0.0000 0.5000 0.2466
Ho: 0.5000 0.0000 0.7534
Ge: 0.0000 0.0000 0.0000
Ge: 0.0000 0.5000 0.6315
Ge: 0.5000 0.0000 0.3685
Ge: 0.5000 0.5000 0.0000
Ir: 0.0000 0.5000 0.8695
Ir: 0.5000 0.0000 0.1305
Ir: 0.5000 0.5000 0.5000
Rh: 0.0000 0.0000 0.5000

# 9
Ho2Ge4IrRh3 after structural relaxation. Source: Alexandria, functional GGA-PBE.

Calculated values
The formation enthalpy at 0 K comes out at -0.821 eV per atom. The crystal system is tetragonal.

a b c (Å): 4.1980 4.1980 10.1094
angles (deg): 90.00 90.00 90.00
Positions (direct):
Ho: 0.0000 0.5000 0.2461
Ho: 0.5000 0.0000 0.7539
Ge: 0.0000 0.0000 0.0000
Ge: 0.0000 0.5000 0.6329
Ge: 0.5000 0.0000 0.3671
Ge: 0.5000 0.5000 0.0000
Ir: 0.0000 0.0000 0.5000
Rh: 0.0000 0.5000 0.8706
Rh: 0.5000 0.0000 0.1294
Rh: 0.5000 0.5000 0.5000

# 10
HoGe2IrRh2 after structural relaxation. Source: Alexandria, functional GGA-PBE.

Calculated values
The formation enthalpy at 0 K comes out at -0.159 eV per atom. The crystal system is tetragonal.

a b c (Å): 4.6431 4.6431 5.4871
angles (deg): 90.00 90.00 90.00
Positions (direct):
Ho: 0.0000 0.0000 0.0000
Ge: 0.0000 0.5000 0.5000
Ge: 0.5000 0.0000 0.5000
Ir: 0.0000 0.0000 0.5000
Rh: 0.5000 0.5000 0.2443
Rh: 0.5000 0.5000 0.7557

# 11
HoGe2IrRu after structural relaxation. Source: Alexandria, functional GGA-PBE.

Calculated values
The formation enthalpy at 0 K comes out at -0.721 eV per atom. The crystal system is tetragonal.

a b c (Å): 5.8362 5.8362 5.8362
angles (deg): 137.65 137.65 61.44
Positions (direct):
Ho: 0.0000 0.0000 0.0000
Ge: 0.3748 0.3748 0.0000
Ge: 0.6252 0.6252 0.0000
Ir: 0.7500 0.2500 0.5000
Ru: 0.2500 0.7500 0.5000

# 12
HoScGeIr after structural relaxation. Source: Alexandria, functional GGA-PBE.

Calculated values
The formation enthalpy at 0 K comes out at -0.714 eV per atom. The crystal system is cubic.

a b c (Å): 4.8081 4.8081 4.8081
angles (deg): 60.00 60.00 60.00
Positions (direct):
Ho: 0.0000 0.0000 0.0000
Sc: 0.5000 0.5000 0.5000
Ge: 0.2500 0.2500 0.2500
Ir: 0.7500 0.7500 0.7500

# 13
Ho2Si2GeIr5 after structural relaxation. Source: Alexandria, functional GGA-PBE.

Calculated values
The crystal system is tetragonal. For the uncorrected formation energy, the calculation gives -0.80 eV per atom.

a b c (Å): 9.6021 9.6021 3.5577
angles (deg): 90.00 90.00 90.00
Positions (direct):
Ho: 0.1754 0.3246 0.0000
Ho: 0.3246 0.8246 0.0000
Ho: 0.6754 0.1754 0.0000
Ho: 0.8246 0.6754 0.0000
Si: 0.1236 0.6236 0.0000
Si: 0.3764 0.1236 0.0000
Si: 0.6236 0.8764 0.0000
Si: 0.8764 0.3764 0.0000
Ge: 0.0000 0.0000 0.0000
Ge: 0.5000 0.5000 0.0000
Ir: 0.0000 0.5000 0.5000
Ir: 0.0677 0.7897 0.5000
Ir: 0.2103 0.0677 0.5000
Ir: 0.2897 0.5677 0.5000
Ir: 0.4323 0.2897 0.5000
Ir: 0.5000 0.0000 0.5000
Ir: 0.5677 0.7103 0.5000
Ir: 0.7103 0.4323 0.5000
Ir: 0.7897 0.9323 0.5000
Ir: 0.9323 0.2103 0.5000

# 14
Ho2Si3GeIr4 after structural relaxation. Source: Alexandria, functional GGA-PBE.

Calculated values
The crystal system is tetragonal. For the uncorrected formation energy, the calculation gives -0.98 eV per atom.

a b c (Å): 4.1464 4.1464 9.9195
angles (deg): 90.00 90.00 90.00
Positions (direct):
Ho: 0.0000 0.5000 0.2478
Ho: 0.5000 0.0000 0.7522
Si: 0.0000 0.0000 0.0000
Si: 0.0000 0.5000 0.6297
Si: 0.5000 0.0000 0.3703
Ge: 0.5000 0.5000 0.0000
Ir: 0.0000 0.0000 0.5000
Ir: 0.0000 0.5000 0.8666
Ir: 0.5000 0.0000 0.1334
Ir: 0.5000 0.5000 0.5000

# 15
Sm2HoGe3Ir4 after structural relaxation. Source: Alexandria, functional GGA-PBE.

Calculated values
The formation enthalpy at 0 K comes out at -0.795 eV per atom. The crystal system is tetragonal.

a b c (Å): 4.1784 4.1784 11.2390
angles (deg): 90.00 90.00 90.00
Positions (direct):
Sm: 0.0000 0.5000 0.2292
Sm: 0.5000 0.0000 0.7708
Ho: 0.0000 0.0000 0.5000
Ge: 0.0000 0.5000 0.8775
Ge: 0.5000 0.0000 0.1225
Ge: 0.5000 0.5000 0.5000
Ir: 0.0000 0.0000 0.0000
Ir: 0.0000 0.5000 0.6594
Ir: 0.5000 0.0000 0.3406
Ir: 0.5000 0.5000 0.0000

# 16
Ho2TaGe3Ir4 after structural relaxation. Source: Alexandria, functional GGA-PBE.

Calculated values
The formation enthalpy at 0 K comes out at -0.750 eV per atom. The crystal system is tetragonal.

a b c (Å): 4.1323 4.1323 10.7879
angles (deg): 90.00 90.00 90.00
Positions (direct):
Ho: 0.0000 0.5000 0.2331
Ho: 0.5000 0.0000 0.7669
Ta: 0.0000 0.0000 0.5000
Ge: 0.0000 0.5000 0.8697
Ge: 0.5000 0.0000 0.1303
Ge: 0.5000 0.5000 0.5000
Ir: 0.0000 0.0000 0.0000
Ir: 0.0000 0.5000 0.6428
Ir: 0.5000 0.0000 0.3572
Ir: 0.5000 0.5000 0.0000

# 17
TbHoGeIr after structural relaxation. Source: Alexandria, functional GGA-PBE.

Calculated values
The formation enthalpy at 0 K comes out at -0.862 eV per atom. The offset from the most stable computed form is 0.00 eV/f.u. The crystal system is orthorhombic.

a b c (Å): 4.0884 5.7081 5.7081
angles (deg): 42.12 90.00 90.00
Positions (direct):
Tb: 0.0000 0.0000 0.0000
Ho: 0.5000 0.2811 0.2811
Ge: 0.5000 0.5697 0.5697
Ir: 0.0000 0.7238 0.7238

# 18
TbHoGeIr after structural relaxation. Source: Alexandria, functional GGA-PBE.

Calculated values
The formation enthalpy at 0 K comes out at -0.693 eV per atom. The offset from the most stable computed form is 0.68 eV/f.u. The crystal system is cubic.

a b c (Å): 4.9586 4.9586 4.9586
angles (deg): 60.00 60.00 60.00
Positions (direct):
Tb: 0.0000 0.0000 0.0000
Ho: 0.5000 0.5000 0.5000
Ge: 0.2500 0.2500 0.2500
Ir: 0.7500 0.7500 0.7500

# 19
HoThGeIr after structural relaxation. Source: Alexandria, functional GGA-PBE.

Calculated values
The formation enthalpy at 0 K comes out at -0.418 eV per atom. The crystal system is tetragonal.

a b c (Å): 4.1240 4.1240 11.2014
angles (deg): 90.00 90.00 90.00
Positions (direct):
Ho: 0.2500 0.7500 0.0000
Ho: 0.7500 0.2500 0.0000
Th: 0.2500 0.2500 0.3278
Th: 0.7500 0.7500 0.6722
Ge: 0.2500 0.2500 0.8128
Ge: 0.7500 0.7500 0.1872
Ir: 0.2500 0.2500 0.5913
Ir: 0.7500 0.7500 0.4087

# 20
HoTh2Ge3Ir4 after structural relaxation. Source: Alexandria, functional GGA-PBE.

Calculated values
The formation enthalpy at 0 K comes out at -0.826 eV per atom. The crystal system is tetragonal.

a b c (Å): 4.1625 4.1625 11.4858
angles (deg): 90.00 90.00 90.00
Positions (direct):
Ho: 0.0000 0.0000 0.0000
Th: 0.0000 0.5000 0.7305
Th: 0.5000 0.0000 0.2695
Ge: 0.0000 0.5000 0.3790
Ge: 0.5000 0.0000 0.6210
Ge: 0.5000 0.5000 0.0000
Ir: 0.0000 0.0000 0.5000
Ir: 0.0000 0.5000 0.1652
Ir: 0.5000 0.0000 0.8348
Ir: 0.5000 0.5000 0.5000

# 21
Ho2Th2GeIr4 after structural relaxation. Source: Alexandria, functional GGA-PBE.

Calculated values
The formation enthalpy at 0 K comes out at -0.325 eV per atom. The crystal system is tetragonal.

a b c (Å): 6.5891 6.5891 6.5891
angles (deg): 120.63 120.63 88.91
Positions (direct):
Ho: 0.2500 0.7500 0.5000
Ho: 0.7500 0.2500 0.5000
Th: 0.1905 0.1905 0.0000
Th: 0.8095 0.8095 0.0000
Ge: 0.5000 0.5000 0.0000
Ir: 0.2358 0.2358 0.4716
Ir: 0.2358 0.7642 0.0000
Ir: 0.7642 0.2358 0.0000
Ir: 0.7642 0.7642 0.5284

# 22
Ho2TiGe3Ir4 after structural relaxation. Source: Alexandria, functional GGA-PBE.

Calculated values
The formation enthalpy at 0 K comes out at -0.816 eV per atom. The crystal system is tetragonal.

a b c (Å): 4.0945 4.0945 10.8048
angles (deg): 90.00 90.00 90.00
Positions (direct):
Ho: 0.0000 0.5000 0.2379
Ho: 0.5000 0.0000 0.7621
Ti: 0.0000 0.0000 0.5000
Ge: 0.0000 0.5000 0.8694
Ge: 0.5000 0.0000 0.1306
Ge: 0.5000 0.5000 0.5000
Ir: 0.0000 0.0000 0.0000
Ir: 0.0000 0.5000 0.6429
Ir: 0.5000 0.0000 0.3571
Ir: 0.5000 0.5000 0.0000

# 23
YHoGeIr after structural relaxation. Source: Alexandria, functional GGA-PBE.

Calculated values
The formation enthalpy at 0 K comes out at -0.700 eV per atom. The offset from the most stable computed form is 0.63 eV/f.u. The crystal system is cubic.

a b c (Å): 4.9525 4.9525 4.9525
angles (deg): 60.00 60.00 60.00
Positions (direct):
Y: 0.0000 0.0000 0.0000
Ho: 0.5000 0.5000 0.5000
Ge: 0.7500 0.7500 0.7500
Ir: 0.2500 0.2500 0.2500